K3LiPb4 (GGA-PBEsol, relaxed); space group = No. 63; V = 568.6 Å³ per cell; DFT formation energy = -0.243 eV/atom
1.0
6.872 0.000 0.000
-3.436 8.000 0.000
0.000 0.000 10.342
K Li Pb
6 2 8
direct
0.777 0.554 0.250
0.223 0.446 0.750
0.387 0.773 0.456
0.613 0.227 0.544
0.613 0.227 0.956
0.387 0.773 0.044
0.000 0.000 0.500
0.000 0.000 0.000
0.803 0.072 0.250
0.197 0.928 0.750
0.269 0.072 0.250
0.731 0.928 0.750
0.172 0.344 0.398
0.828 0.656 0.602
0.828 0.656 0.898
0.172 0.344 0.102


K3NdP2O8 (GGA-PBEsol, relaxed); space group = No. 11; V = 398.2 Å³ per cell; formation energy from raw total energies = -2.605 eV per atom
1.0
-0.094 2.994 -4.778
5.855 -3.813 -2.504
-5.949 -6.343 -3.858
K Nd P O
6 2 4 16
direct
0.250 0.362 0.093
0.750 0.493 0.310
0.250 0.801 0.417
0.750 0.638 0.907
0.750 0.199 0.583
0.250 0.507 0.690
0.250 0.007 0.792
0.750 0.993 0.208
0.250 0.236 0.414
0.750 0.764 0.586
0.250 0.805 0.074
0.750 0.195 0.926
0.025 0.747 0.156
0.525 0.253 0.844
0.975 0.253 0.844
0.475 0.747 0.156
0.026 0.156 0.341
0.526 0.844 0.659
0.974 0.844 0.659
0.474 0.156 0.341
0.250 0.012 0.053
0.750 0.988 0.947
0.250 0.717 0.925
0.750 0.283 0.075
0.750 0.822 0.429
0.250 0.178 0.571
0.750 0.559 0.600
0.250 0.441 0.400


MgIr2Rh (GGA-PBEsol, relaxed); space group = No. 71; V = 59.3 Å³ per cell; DFT formation energy = -0.031 eV/atom
1.0
2.751 0.000 0.000
0.000 4.466 0.000
-1.376 -2.233 4.830
Ir Mg Rh
2 1 1
direct
0.728 0.728 0.456
0.272 0.272 0.544
0.500 0.000 0.000
0.000 0.500 0.000


FeSiNi2Pb (GGA-PBEsol, relaxed); space group = No. 123; V = 103.8 Å³ per cell; formation energy from raw total energies = 1.618 eV per atom
1.0
-3.764 -2.461 -1.147
1.415 -0.105 -4.419
2.405 -4.083 0.867
Pb Ni Si Fe
1 2 1 1
direct
0.000 0.000 0.000
0.000 0.500 0.000
0.500 0.000 0.000
0.500 0.500 0.500
0.000 0.000 0.500


MnI2Cl (GGA-PBEsol, relaxed); space group = No. 122; V = 242.3 Å³ per cell; formation energy from raw total energies = -0.250 eV per atom
1.0
-4.912 -3.461 -4.540
-0.036 -5.319 5.332
-2.325 6.988 -1.575
I Mn Cl
4 2 2
direct
0.851 0.875 0.226
0.149 0.375 0.024
0.649 0.774 0.625
0.351 0.976 0.125
0.000 0.000 0.000
0.500 0.750 0.250
0.000 0.500 0.500
0.500 0.250 0.750


NaCu2H3O10 (GGA-PBEsol, relaxed); space group = No. 12; V = 184.8 Å³ per cell
1.0
5.841 0.000 0.000
-2.920 5.346 0.076
0.000 -2.903 5.878
Na Cu H O
1 2 3 10
direct
0.000 0.000 0.000
0.000 0.500 0.500
0.500 0.500 0.500
0.490 0.979 0.758
0.510 0.021 0.242
0.500 0.000 0.500
0.276 0.551 0.161
0.724 0.449 0.839
0.426 0.852 0.598
0.574 0.148 0.402
0.015 0.421 0.180
0.985 0.579 0.820
0.594 0.579 0.820
0.406 0.421 0.180
0.150 0.299 0.488
0.850 0.701 0.512


RbMg2ZrFe (GGA-PBEsol, relaxed); space group = No. 123; V = 121.9 Å³ per cell; DFT formation energy = 1.835 eV/atom
1.0
-3.206 2.548 1.944
-3.271 -4.022 -0.123
1.656 -1.490 4.683
Mg Rb Zr Fe
2 1 1 1
direct
0.000 0.000 0.500
0.000 0.500 0.000
0.000 0.000 0.000
0.500 0.500 0.500
0.500 0.000 0.000


Na2PdPbS (GGA-PBEsol, relaxed); space group = No. 123; V = 117.6 Å³ per cell; formation energy from raw total energies = -0.231 eV per atom
1.0
-0.342 -3.883 -2.349
4.969 0.198 -1.050
0.998 -2.643 4.224
Pb Na S Pd
1 2 1 1
direct
0.500 0.500 0.500
0.000 0.000 0.500
0.000 0.500 0.000
0.000 0.000 0.000
0.500 0.000 0.000


Number 1: DFT total energy -2.913 eV per atom, DOS at the Fermi energy 0.028 states/eV/atom. Number 2: DFT total energy -7.044 eV per atom, DOS at the Fermi energy 0.000 states/eV/atom. Number 3: DFT total energy -7.406 eV per atom, DOS at the Fermi energy 1.003 states/eV/atom. Number 4: DFT total energy -4.587 eV per atom, DOS at the Fermi energy 0.968 states/eV/atom. Number 5: DFT total energy -4.076 eV per atom, DOS at the Fermi energy 0.735 states/eV/atom. Number 6: DFT total energy -4.897 eV per atom, DOS at the Fermi energy 0.415 states/eV/atom. Number 7: DFT total energy -2.668 eV per atom, DOS at the Fermi energy 1.192 states/eV/atom. Number 8: DFT total energy -3.659 eV per atom, DOS at the Fermi energy 0.655 states/eV/atom.